(1)
SmLuZr: relaxed, PBE.

Computed properties:
- total magnetic moment (μB/f.u.) = 0.00
- volume (Å³/cell) = 84.4
- formation energy from the elements (eV per atom) = 0.0933
- energy (eV for the cell shown) = -17.508

Unit cell a=3.4090 b=3.4090 c=8.3840 alpha=90.00 beta=90.00 gamma=120.00
Space group P3m1 (No. 156)
One atom of each set of equivalent atoms:
Sm  0.0000  0.0000  0.0000 (multiplicity 1)
Lu  0.3333  0.6667  0.6324 (multiplicity 1)
Zr  0.6667  0.3333  0.3216 (multiplicity 1)

***

(2)
LuSn5: relaxed, PBE.

Computed properties:
- total magnetic moment (μB/f.u.) = 0.00
- volume (Å³/cell) = 317.8
- formation energy from the elements (eV per atom) = -0.1865
- energy (eV for the cell shown) = -51.309

Unit cell a=4.5918 b=15.2520 c=4.5380 alpha=90.00 beta=90.00 gamma=90.00
Space group Cmmm (No. 65)
One atom of each set of equivalent atoms:
Lu  0.0000  0.0000  0.0000 (multiplicity 2)
Sn  0.0000  0.1678  0.5000 (multiplicity 4)
Sn  0.0000  0.3432  0.0000 (multiplicity 4)
Sn  0.0000  0.5000  0.5000 (multiplicity 2)

***

(3)
LuSn: relaxed, PBE.

Computed properties:
- total magnetic moment (μB/f.u.) = 0.00
- volume (Å³/cell) = 228.8
- formation energy from the elements (eV per atom) = -0.3962
- energy (eV for the cell shown) = -37.265

Unit cell a=6.1159 b=6.1159 c=6.1159 alpha=90.00 beta=90.00 gamma=90.00
Space group Fm-3m (No. 225)
One atom of each set of equivalent atoms:
Lu  0.0000  0.0000  0.0000 (multiplicity 4)
Sn  0.0000  0.0000  0.5000 (multiplicity 4)

***

Question: Which of these has the lowest formation energy from the elements?
Answer: LuSn

***

Question: Which of these has the highest formation energy from the elements?
Answer: SmLuZr